The following is a PBE-GGA calculation of crystalline PmFeNi3 at its relaxed geometry, from Alexandria.

Properties
* symmetry: No. 74
* calculated formation energy: -107 meV per atom

Lattice parameters (Å, degrees): 4.9265 7.9866 6.2306 129.86 113.29 90.00
With the nearest neighbours (Å) after each atom.
Fractional coordinates of all 10 atoms:
Pm (0.2500, 0.2966, 0.5000)  11 Ni 2.96-3.31, 4 Fe 3.23
Pm (0.7500, 0.7034, 0.5000)  11 Ni 2.96-3.31, 4 Fe 3.23
Fe (0.0000, 0.5000, 0.0000)  6 Ni 2.35-2.43
Fe (0.5000, 0.0000, 0.0000)  6 Ni 2.35-2.43
Ni (0.7380, 0.2380, 0.9759)  2 Fe 2.35, 4 Ni 2.41-2.46
Ni (0.2380, 0.2380, 0.9759)  2 Fe 2.35, 4 Ni 2.41-2.46
Ni (0.7620, 0.7620, 0.0241)  2 Fe 2.35, 4 Ni 2.41-2.46
Ni (0.2620, 0.7620, 0.0241)  2 Fe 2.35, 4 Ni 2.41-2.46
Ni (0.2500, 0.9141, 0.5000)  4 Ni 2.41, 2 Fe 2.43
Ni (0.7500, 0.0859, 0.5000)  4 Ni 2.41, 2 Fe 2.43



The following is a PBE-GGA calculation of crystalline PmFe2Ni4 at its relaxed geometry, from Alexandria.

Properties
* symmetry: No. 139
* calculated formation energy: -141 meV per atom

Lattice parameters (Å, degrees): 4.8371 5.0658 5.0660 76.75 61.42 61.41
With the nearest neighbours (Å) after each atom.
Fractional coordinates of all 7 atoms:
Ni (0.6958, 0.6083, 0.0001)  4 Ni 2.46-2.60, 4 Fe 2.58, 1 Pm 2.71
Ni (0.3042, 0.3917, 0.9999)  4 Ni 2.46-2.60, 4 Fe 2.58, 1 Pm 2.71
Ni (0.6959, 0.0000, 0.6082)  4 Ni 2.46-2.60, 4 Fe 2.58, 1 Pm 2.71
Ni (0.3041, 0.0000, 0.3918)  4 Ni 2.46-2.60, 4 Fe 2.58, 1 Pm 2.71
Fe (0.7501, 0.4999, 0.4999)  2 Fe 2.42, 8 Ni 2.58
Fe (0.2498, 0.5001, 0.5001)  2 Fe 2.42, 8 Ni 2.58
Pm (0.0000, 0.0000, 0.0000)  12 Ni 2.71-2.98



The following is a PBE-GGA calculation of crystalline PmFeNi at its relaxed geometry, from Alexandria.

Properties
* symmetry: No. 74
* calculated formation energy: -105 meV per atom
* energy relative to the lowest polymorph listed for this composition: 0 meV per atom

Lattice parameters (Å, degrees): 5.2231 5.2231 5.2231 91.05 61.24 122.49
With the nearest neighbours (Å) after each atom.
Fractional coordinates of all 6 atoms:
Pm (0.7500, 0.8783, 0.3717)  6 Ni 2.98-3.12, 6 Fe 3.04-3.09, 4 Pm 3.16-3.22
Pm (0.2500, 0.1217, 0.6283)  6 Ni 2.98-3.12, 6 Fe 3.04-3.09, 4 Pm 3.16-3.22
Fe (0.5000, 0.0000, 0.0000)  2 Fe 2.51, 4 Ni 2.61
Fe (0.0000, 0.5000, 0.0000)  2 Fe 2.51, 4 Ni 2.61
Ni (0.0000, 0.5000, 0.5000)  4 Fe 2.61, 2 Ni 2.66
Ni (0.5000, 0.5000, 0.0000)  4 Fe 2.61, 2 Ni 2.66



The following is a PBE-GGA calculation of crystalline PmFeNi at its relaxed geometry, from Alexandria.

Properties
* symmetry: No. 187
* calculated formation energy: -81 meV per atom
* energy relative to the lowest polymorph listed for this composition: 24 meV per atom

Lattice parameters (Å, degrees): 4.1147 4.0019 4.0019 120.00 90.00 90.00
With the nearest neighbours (Å) after each atom.
Fractional coordinates of all 3 atoms:
Ni (0.1667, 0.0000, 0.0000)  3 Fe 2.31
Fe (0.1667, 0.6667, 0.3333)  3 Ni 2.31
Pm (0.6667, 0.3333, 0.6667)  6 Fe 3.09, 6 Ni 3.09



The following is a PBE-GGA calculation of crystalline PmFe2Ni5 at its relaxed geometry, from Alexandria.

Properties
* symmetry: No. 71
* calculated formation energy: 4 meV per atom

Lattice parameters (Å, degrees): 3.7127 5.9512 5.9512 67.98 71.82 71.82
With the nearest neighbours (Å) after each atom.
Fractional coordinates of all 8 atoms:
Pm (0.0000, 0.0000, 0.0000)  4 Fe 2.96, 8 Ni 3.09
Fe (0.7523, 0.7477, 0.7477)  7 Ni 2.26-2.42
Fe (0.2477, 0.2523, 0.2523)  7 Ni 2.26-2.42
Ni (0.0000, 0.5000, 0.5000)  2 Fe 2.26
Ni (0.6443, 0.5408, 0.1707)  3 Fe 2.32-2.42, 3 Ni 2.46-2.59
Ni (0.3557, 0.4592, 0.8293)  3 Fe 2.32-2.42, 3 Ni 2.46-2.59
Ni (0.3557, 0.8293, 0.4592)  3 Fe 2.32-2.42, 3 Ni 2.46-2.59
Ni (0.6443, 0.1707, 0.5408)  3 Fe 2.32-2.42, 3 Ni 2.46-2.59



The following is a PBE-GGA calculation of crystalline PmPuFeNi at its relaxed geometry, from Alexandria.

Properties
* symmetry: No. 216
* calculated formation energy: 70 meV per atom

Lattice parameters (Å, degrees): 4.8076 4.8076 4.8076 60.00 60.00 60.00
With the nearest neighbours (Å) after each atom.
Fractional coordinates of all 4 atoms:
Ni (0.2500, 0.2500, 0.2500)  4 Pm 2.94, 4 Pu 2.94
Pm (0.0000, 0.0000, 0.0000)  4 Fe 2.94, 4 Ni 2.94
Fe (0.7500, 0.7500, 0.7500)  4 Pu 2.94, 4 Pm 2.94
Pu (0.5000, 0.5000, 0.5000)  4 Fe 2.94, 4 Ni 2.94



The following is a PBE-GGA calculation of crystalline PmFeSi2Ni at its relaxed geometry, from Alexandria.

Properties
* symmetry: No. 119
* formation energy (no corrections): -0.720 eV per atom

Lattice parameters (Å, degrees): 3.9429 3.9429 5.7094 110.20 110.20 90.00
With the nearest neighbours (Å) after each atom.
Fractional coordinates of all 5 atoms:
Pm (0.0000, 0.0000, 0.0000)  8 Si 3.07, 4 Fe 3.18, 4 Ni 3.18
Fe (0.7500, 0.2500, 0.5000)  4 Si 2.31
Si (0.6300, 0.6300, 0.2600)  2 Fe 2.31, 2 Ni 2.31
Si (0.3700, 0.3700, 0.7400)  2 Ni 2.31, 2 Fe 2.31
Ni (0.2500, 0.7500, 0.5000)  4 Si 2.31



The following is a PBE-GGA calculation of crystalline Pm2FeSi4Ni3 at its relaxed geometry, from Alexandria.

Properties
* symmetry: No. 115
* formation energy (no corrections): -0.765 eV per atom

Lattice parameters (Å, degrees): 3.9885 3.9885 9.6953 90.00 90.00 90.00
With the nearest neighbours (Å) after each atom.
Fractional coordinates of all 10 atoms:
Pm (0.5000, 0.0000, 0.2464)  6 Ni 3.05-3.17, 8 Si 3.08-3.11, 2 Fe 3.17
Pm (0.0000, 0.5000, 0.7536)  6 Ni 3.05-3.17, 8 Si 3.08-3.11, 2 Fe 3.17
Fe (0.5000, 0.5000, 0.5000)  4 Si 2.34
Si (0.5000, 0.5000, 0.0000)  4 Ni 2.34
Si (0.0000, 0.0000, 0.0000)  4 Ni 2.34
Si (0.5000, 0.0000, 0.6265)  2 Fe 2.34, 3 Ni 2.34-2.40
Si (0.0000, 0.5000, 0.3735)  3 Ni 2.34-2.40, 2 Fe 2.34
Ni (0.0000, 0.0000, 0.5000)  4 Si 2.34
Ni (0.5000, 0.0000, 0.8745)  5 Si 2.34-2.40
Ni (0.0000, 0.5000, 0.1255)  5 Si 2.34-2.40



The following is a PBE-GGA calculation of crystalline TbPmFeNi at its relaxed geometry, from Alexandria.

Properties
* symmetry: No. 216
* calculated formation energy: 1 meV per atom

Lattice parameters (Å, degrees): 4.8280 4.8280 4.8280 60.00 60.00 60.00
With the nearest neighbours (Å) after each atom.
Fractional coordinates of all 4 atoms:
Ni (0.2500, 0.2500, 0.2500)  4 Tb 2.96, 4 Pm 2.96
Tb (0.5000, 0.5000, 0.5000)  4 Ni 2.96, 4 Fe 2.96
Fe (0.7500, 0.7500, 0.7500)  4 Pm 2.96, 4 Tb 2.96
Pm (0.0000, 0.0000, 0.0000)  4 Fe 2.96, 4 Ni 2.96



The following is a PBE-GGA calculation of crystalline Pm2Zn2FeNi5 at its relaxed geometry, from Alexandria.

Properties
* symmetry: No. 127
* calculated formation energy: -109 meV per atom

Lattice parameters (Å, degrees): 3.4634 9.4915 9.4915 90.00 90.00 90.00
With the nearest neighbours (Å) after each atom.
Fractional coordinates of all 20 atoms:
Pm (0.0000, 0.6771, 0.1771)  3 Zn 2.70-2.89, 2 Ni 2.94
Pm (0.0000, 0.3229, 0.8229)  3 Zn 2.70-2.89, 2 Ni 2.94
Pm (0.0000, 0.1771, 0.3229)  3 Zn 2.70-2.89, 2 Ni 2.94
Pm (0.0000, 0.8229, 0.6771)  3 Zn 2.70-2.89, 2 Ni 2.94
Zn (0.0000, 0.1218, 0.6218)  6 Ni 2.38-2.56
Zn (0.0000, 0.8782, 0.3782)  6 Ni 2.38-2.56
Zn (0.0000, 0.6218, 0.8782)  6 Ni 2.38-2.56
Zn (0.0000, 0.3782, 0.1218)  6 Ni 2.38-2.56
Fe (0.0000, 0.0000, 0.0000)  8 Ni 2.56
Fe (0.0000, 0.5000, 0.5000)  8 Ni 2.56
Ni (0.5000, 0.1912, 0.0532)  2 Fe 2.56, 2 Zn 2.56, 2 Ni 2.66
Ni (0.5000, 0.8088, 0.9468)  2 Fe 2.56, 2 Zn 2.56, 2 Ni 2.66
Ni (0.5000, 0.0532, 0.8088)  2 Fe 2.56, 2 Zn 2.56, 2 Ni 2.66
Ni (0.5000, 0.6912, 0.4468)  2 Fe 2.56, 2 Zn 2.56, 2 Ni 2.66
Ni (0.5000, 0.9468, 0.1912)  2 Fe 2.56, 2 Zn 2.56, 2 Ni 2.66
Ni (0.5000, 0.3088, 0.5532)  2 Fe 2.56, 2 Zn 2.56, 2 Ni 2.66
Ni (0.5000, 0.5532, 0.6912)  2 Fe 2.56, 2 Zn 2.56, 2 Ni 2.66
Ni (0.5000, 0.4468, 0.3088)  2 Fe 2.56, 2 Zn 2.56, 2 Ni 2.66
Ni (0.5000, 0.5000, 0.0000)  4 Zn 2.38
Ni (0.5000, 0.0000, 0.5000)  4 Zn 2.38



The following is a PBE-GGA calculation of crystalline PrFe2Ni4 at its relaxed geometry, from Alexandria.

Properties
* symmetry: No. 139
* calculated formation energy: -102 meV per atom

Lattice parameters (Å, degrees): 4.8651 5.0943 5.0944 76.75 61.42 61.42
With the nearest neighbours (Å) after each atom.
Fractional coordinates of all 7 atoms:
Pr (0.0000, 0.0000, 0.0000)  12 Ni 2.72-3.00
Ni (0.6956, 0.6088, 0.0001)  4 Ni 2.48-2.62, 4 Fe 2.59, 1 Pr 2.72
Ni (0.3044, 0.3913, 0.9999)  4 Ni 2.48-2.62, 4 Fe 2.59, 1 Pr 2.72
Ni (0.6957, 0.0000, 0.6087)  4 Ni 2.48-2.62, 4 Fe 2.59, 1 Pr 2.72
Ni (0.3044, 0.9999, 0.3913)  4 Ni 2.48-2.62, 4 Fe 2.59, 1 Pr 2.72
Fe (0.7501, 0.5000, 0.5000)  2 Fe 2.43, 8 Ni 2.59
Fe (0.2499, 0.5000, 0.5000)  2 Fe 2.43, 8 Ni 2.59



The following is a PBE-GGA calculation of crystalline Pr3FeNi8 at its relaxed geometry, from Alexandria.

Properties
* symmetry: No. 160
* calculated formation energy: -170 meV per atom

Lattice parameters (Å, degrees): 5.0878 5.0878 8.8222 73.24 73.24 60.00
With the nearest neighbours (Å) after each atom.
Fractional coordinates of all 12 atoms:
Pr (0.3782, 0.3782, 0.8654)  12 Ni 2.99-3.06, 4 Pr 3.24-3.25
Pr (0.9887, 0.9887, 0.0339)  9 Ni 2.85-3.05, 1 Fe 3.17
Pr (0.5079, 0.5079, 0.4763)  12 Ni 2.81-3.04, 3 Fe 2.98
Fe (0.8617, 0.8617, 0.4148)  3 Ni 2.61
Ni (0.9397, 0.4354, 0.1896)  6 Ni 2.48-2.59
Ni (0.4450, 0.9398, 0.6753)  6 Ni 2.52-2.60, 1 Fe 2.61
Ni (0.4354, 0.4354, 0.1896)  6 Ni 2.48-2.59
Ni (0.9398, 0.9398, 0.6753)  6 Ni 2.52-2.60, 1 Fe 2.61
Ni (0.1897, 0.1897, 0.4308)  6 Ni 2.48-2.52
Ni (0.6887, 0.6887, 0.9340)  6 Ni 2.59-2.60
Ni (0.4354, 0.9397, 0.1896)  6 Ni 2.48-2.59
Ni (0.9398, 0.4450, 0.6753)  6 Ni 2.52-2.60, 1 Fe 2.61